# Nd2Tc2Ge2N, relaxed, DFT GGA-PBE
# * calculated density: 8.1 g cm⁻³
# * E_form (uncorrected): -0.72 eV/atom
data_Nd2Tc2Ge2N
_chemical_formula_sum 'Nd2 Tc2 Ge2 N1'
_space_group_name_H-M_alt 'P 1'
_space_group_IT_number 1
_cell_length_a 6.010
_cell_length_b 6.010
_cell_length_c 7.139
_cell_angle_alpha 124.71
_cell_angle_beta 124.71
_cell_angle_gamma 40.21
loop_
_space_group_symop_operation_xyz
'x,y,z'
loop_
_atom_site_label
_atom_site_fract_x
_atom_site_fract_y
_atom_site_fract_z
Nd1 0.063 0.063 0.294
Nd2 0.937 0.937 0.706
Tc1 0.302 0.302 0.910
Tc2 0.698 0.698 0.090
Ge1 0.343 0.343 0.300
Ge2 0.657 0.657 0.700
N1 0.500 0.500 0.000

=====

# NdTc2GeN, relaxed, DFT GGA-PBE
# * calculated density: 8.6 g cm⁻³
# * E_form (uncorrected): -0.59 eV/atom
data_NdTc2GeN
_chemical_formula_sum 'Nd2 Tc4 Ge2 N2'
_space_group_name_H-M_alt 'P 1'
_space_group_IT_number 1
_cell_length_a 5.927
_cell_length_b 5.927
_cell_length_c 7.487
_cell_angle_alpha 90.00
_cell_angle_beta 90.00
_cell_angle_gamma 141.23
loop_
_space_group_symop_operation_xyz
'x,y,z'
loop_
_atom_site_label
_atom_site_fract_x
_atom_site_fract_y
_atom_site_fract_z
Nd1 0.045 0.955 0.750
Nd2 0.955 0.045 0.250
Tc1 0.334 0.666 0.559
Tc2 0.334 0.666 0.941
Tc3 0.666 0.334 0.059
Tc4 0.666 0.334 0.441
Ge1 0.233 0.767 0.250
Ge2 0.767 0.233 0.750
N1 0.500 0.500 0.000
N2 0.500 0.500 0.500

=====

# Nd2Th4Ge3N2, relaxed, DFT GGA-PBE
# * calculated density: 8.7 g cm⁻³
# * E_form (uncorrected): -0.92 eV/atom
data_Nd2Th4Ge3N2
_chemical_formula_sum 'Nd2 Th4 Ge3 N2'
_space_group_name_H-M_alt 'P 1'
_space_group_IT_number 1
_cell_length_a 12.783
_cell_length_b 12.783
_cell_length_c 12.783
_cell_angle_alpha 158.54
_cell_angle_beta 158.54
_cell_angle_gamma 30.53
loop_
_space_group_symop_operation_xyz
'x,y,z'
loop_
_atom_site_label
_atom_site_fract_x
_atom_site_fract_y
_atom_site_fract_z
Nd1 0.200 0.200 0.000
Nd2 0.800 0.800 0.000
Th1 0.080 0.580 0.500
Th2 0.420 0.920 0.500
Th3 0.580 0.080 0.500
Th4 0.920 0.420 0.500
Ge1 0.327 0.327 0.000
Ge2 0.500 0.500 0.000
Ge3 0.673 0.673 0.000
N1 0.100 0.100 0.000
N2 0.900 0.900 0.000